Density functional theory data (GGA-PBE) for crystalline KBa2W at its relaxed geometry.

Cell: 7.013 7.013 7.013 Å, 135.11 135.11 65.36°
Each line ends with the local moment (μB).
Sites, in units of the cell vectors:
Ba (0.250, 0.750, 0.500)  -0.04
Ba (0.000, 0.000, 0.000)  -0.06
K (0.500, 0.500, 0.000)  -0.01
W (0.750, 0.250, 0.500)  2.78

Its energy of formation from the pure elements is 1.323 eV/atom. The density of states at the Fermi level comes out at 4.5 states/eV/cell. The calculation puts the total magnetization at 0.90 μB per atom. As for the space group: I-4m2 (119). As for the energy above the lowest structure with this stoichiometry: 327 meV/atom. For the total energy, the calculation gives -3.15 eV per atom.

Density functional theory data (GGA-PBE) for crystalline Sc4FeSi at its relaxed geometry.

Cell: 5.567 5.567 5.567 Å, 60.00 60.00 60.00°
Each line ends with the local moment (μB).
Sites, in units of the cell vectors:
Sc (0.375, 0.375, 0.375)  -0.02
Sc (0.875, 0.375, 0.375)  -0.02
Sc (0.375, 0.875, 0.375)  -0.02
Sc (0.375, 0.375, 0.875)  -0.02
Si (0.750, 0.750, 0.750)  0.01
Fe (0.000, 0.000, 0.000)  2.77

As for the uncorrected formation energy: 0.54 eV/atom. The density of states at the Fermi level comes out at 7.2 states/eV/cell. The calculation puts the total magnetization at 0.42 μB per atom. As for the space group: F-43m (216). For the total energy, the calculation gives -6.00 eV per atom.